The following is a PBE-GGA calculation of a relaxed PmSi2 crystal, from Alexandria via LeMat-Bulk.

Lattice parameters (Å, degrees): 5.7052 5.7052 5.7052 135.94 108.01 88.41
Last column: nearest neighbours and their distance in Å.
Positions (direct):
Pm 0.3129 0.0629 0.2500  10 Si 3.04-3.12
Pm 0.6871 0.9371 0.7500  10 Si 3.04-3.12
Si 0.1052 0.6668 0.4384  3 Si 2.53-2.54
Si 0.2716 0.3332 0.9384  3 Si 2.53-2.54
Si 0.7284 0.6668 0.0616  3 Si 2.53-2.54
Si 0.8948 0.3332 0.5616  3 Si 2.53-2.54

Computed properties:
calculated volume	19.6	Å³/atom
energy	-33.9	eV per cell
E_form (uncorrected)	-43.6	kJ per mole of atoms
total moment	0.00	μB per cell